Below is an optimized crystal structure of Cd5Hg6, with properties calculated at the GGA-PBE level.

a = 6.9971 Å, b = 6.9971 Å, c = 6.7888 Å
α = 99.31°, β = 99.31°, γ = 117.90°
Closest atoms and distances in Å follow each position.
Positions (direct):
Cd1 0.0000 0.0000 0.0000  6 Hg 3.05-3.10, 2 Cd 3.24
Cd2 0.1413 0.8587 0.5000  6 Hg 2.98-3.08
Cd3 0.2704 0.7296 0.0000  6 Hg 3.01-3.19, 1 Cd 3.24
Cd4 0.7296 0.2704 0.0000  6 Hg 3.01-3.19, 1 Cd 3.24
Cd5 0.8587 0.1413 0.5000  6 Hg 2.98-3.08
Hg1 0.1842 0.4554 0.3084  5 Cd 2.98-3.08, 3 Hg 3.05-3.29
Hg2 0.3218 0.3218 0.7868  5 Cd 3.04-3.19, 3 Hg 3.21-3.29
Hg3 0.4554 0.1842 0.3084  5 Cd 2.98-3.08, 3 Hg 3.05-3.29
Hg4 0.5446 0.8158 0.6916  5 Cd 2.98-3.08, 3 Hg 3.05-3.29
Hg5 0.6782 0.6782 0.2132  5 Cd 3.04-3.19, 3 Hg 3.21-3.29
Hg6 0.8158 0.5446 0.6916  5 Cd 2.98-3.08, 3 Hg 3.05-3.29

Output
Energy of formation from the pure elements: 3.2 kJ/mol of atoms

***

Below is an optimized crystal structure of CdHg3, with properties calculated at the GGA-PBE level.

a = 3.1797 Å, b = 4.4574 Å, c = 7.5072 Å
α = 90.00°, β = 90.00°, γ = 90.00°
Closest atoms and distances in Å follow each position.
Positions (direct):
Cd1 0.0000 0.0000 0.0000  6 Hg 3.03-3.15, 2 Cd 3.18
Hg1 0.0000 0.5000 0.2740  2 Cd 3.03, 6 Hg 3.18-3.26
Hg2 0.5000 0.0000 0.5096  8 Hg 3.08-3.26
Hg3 0.5000 0.5000 0.7937  4 Hg 3.08-3.18, 4 Cd 3.15

Output
Excess energy over the best structure of this formula in the dataset: 3 meV/atom
Energy of formation from the pure elements: 2.0 kJ/mol of atoms

***

Below is an optimized crystal structure of Cd3Hg, with properties calculated at the GGA-PBE level.

a = 3.0923 Å, b = 3.0923 Å, c = 11.1708 Å
α = 90.00°, β = 90.00°, γ = 120.00°
Closest atoms and distances in Å follow each position.
Positions (direct):
Cd1 0.0000 0.0000 0.0000  12 Cd 3.09-3.29
Cd2 0.6667 0.3333 0.2473  9 Cd 3.09-3.29, 3 Hg 3.34
Cd3 0.6667 0.3333 0.7527  9 Cd 3.09-3.29, 3 Hg 3.34
Hg1 0.0000 0.0000 0.5000  6 Hg 3.09, 6 Cd 3.34

Output
Energy of formation from the pure elements: 2.0 kJ/mol of atoms

***

Below is an optimized crystal structure of CdHg3, with properties calculated at the GGA-PBE level.

a = 7.0993 Å, b = 8.3246 Å, c = 3.4705 Å
α = 90.00°, β = 90.00°, γ = 90.00°
Closest atoms and distances in Å follow each position.
Positions (direct):
Cd1 0.0000 0.0000 0.0000  10 Hg 3.24-3.55, 2 Cd 3.47
Cd2 0.5000 0.5000 0.0000  10 Hg 3.24-3.55, 2 Cd 3.47
Hg1 0.0000 0.5000 0.0000  10 Hg 3.24-3.47, 2 Cd 3.55
Hg2 0.2500 0.2500 0.5000  8 Hg 3.24-3.55, 4 Cd 3.24
Hg3 0.2500 0.7500 0.5000  8 Hg 3.24-3.55, 4 Cd 3.24
Hg4 0.5000 0.0000 0.0000  10 Hg 3.24-3.47, 2 Cd 3.55
Hg5 0.7500 0.2500 0.5000  8 Hg 3.24-3.55, 4 Cd 3.24
Hg6 0.7500 0.7500 0.5000  4 Cd 3.24, 8 Hg 3.24-3.55

Output
Excess energy over the best structure of this formula in the dataset: 11 meV/atom
Energy of formation from the pure elements: 2.9 kJ/mol of atoms